First-principles (PBE) data for CdH4F after structural relaxation, as listed in Alexandria.

Lattice parameters (Å, degrees): 10.256 5.201 5.207 90.00 120.41 90.00
Space group C2/c (No. 15)
Inequivalent atoms, fractional coordinates:
Cd  0.000  0.249  0.250 [4 per cell]
H  0.046  0.250  0.796 [8 per cell]
H  0.249  0.304  0.446 [8 per cell]
F  0.250  0.250  0.000 [4 per cell]

Results
The value obtained for the density of states at the Fermi level is 1.39 states/eV/f.u. For the final energy, the calculation gives -2.81 eV/atom. For the calculated volume, the calculation gives 10.0 Å³ per atom.